Crystalline Ag2MoO5 at its relaxed geometry, computed with PBE with a Hubbard U.

Output
excess energy over the best structure of this formula in the dataset	2.64	kcal/mol of atoms
raw total energy	-5.341	eV per atom
D(E_F)	11.51	states/eV/cell
density	5.45	g cm⁻³

Cell: 4.0664 5.9089 10.5838 Å, 90.00 90.00 110.13°
Last column: nearest neighbours and their distance in Å.
Element x y z (fractional)
Ag: 0.8585 0.7171 0.4122  4 O 2.09-2.32
Ag: 0.8585 0.7171 0.0878  4 O 2.09-2.32
Ag: 0.1415 0.2829 0.5878  4 O 2.09-2.32
Ag: 0.1415 0.2829 0.9122  4 O 2.09-2.32
Mo: 0.8154 0.6309 0.7500  2 O 1.80
Mo: 0.1846 0.3691 0.2500  2 O 1.80
O: 0.9213 0.8426 0.8789  1 Mo 1.80
O: 0.9213 0.8426 0.6211  1 Mo 1.80
O: 0.3254 0.6507 0.3818  2 Ag 2.09, 1 Mo 2.09
O: 0.3254 0.6507 0.1182  2 Ag 2.09, 1 Mo 2.09
O: 0.7181 0.4361 0.2500  2 Mo 2.07
O: 0.2819 0.5639 0.7500  2 Mo 2.07
O: 0.6746 0.3493 0.6182  2 Ag 2.09, 1 Mo 2.09
O: 0.6746 0.3493 0.8818  2 Ag 2.09, 1 Mo 2.09
O: 0.0787 0.1574 0.1211  1 Mo 1.80
O: 0.0787 0.1574 0.3789  1 Mo 1.80